Computed, not measured: a relaxed structure of HoCoO3 at the GGA+U level of DFT.

Cell and atoms, written as CIF:
```
data_HoCoO3
_chemical_formula_sum 'Ho4 Co4 O12'
_cell_length_a 5.774
_cell_length_b 7.293
_cell_length_c 5.213
_cell_angle_alpha 90.00
_cell_angle_beta 90.00
_cell_angle_gamma 90.00
_symmetry_space_group_name_H-M 'P n m a'
_symmetry_Int_Tables_number 62
loop_
_symmetry_equiv_pos_as_xyz
'x,y,z'
'-x,-y,-z'
'-x+1/2,-y,z+1/2'
'x+1/2,y,-z+1/2'
'x+1/2,-y+1/2,-z+1/2'
'-x+1/2,y+1/2,z+1/2'
'-x,y+1/2,-z'
'x,-y+1/2,z'
loop_
_atom_site_label
_atom_site_type_symbol
_atom_site_fract_x
_atom_site_fract_y
_atom_site_fract_z
Ho1 Ho 0.088 0.250 0.025
Co1 Co 0.000 0.000 0.500
O1 O 0.033 0.750 0.386
O2 O 0.180 0.553 0.802
```

Computed properties:
**Calculated total energy**: -143.68 eV for the cell shown
**Calculated volume**: 219.53 Å³ per cell
**Total magnetic moment**: 0.399 μB per atom